(1)
SrAgAu2 | Alexandria via LeMat-Bulk | GGA-PBEsol | optimized geometry; formation energy = -293.6 meV per atom; space group = F-43m, No. 216
1.0
-0.993 -0.925 -4.735
0.906 -4.461 -1.880
-3.739 -2.974 -1.197
Au Sr Ag
2 1 1
direct
0.750 0.750 0.750
0.000 0.000 0.000
0.250 0.250 0.250
0.500 0.500 0.500

---

(2)
FeSe3 | Alexandria via LeMat-Bulk | GGA-PBEsol | optimized geometry; energy = -5.03 eV per atom; space group = Immm, No. 71
1.0
-2.826 0.661 1.354
-1.605 -3.661 -1.564
3.760 -1.095 4.597
Se Fe
3 1
direct
0.500 0.000 0.000
0.664 0.664 0.328
0.336 0.336 0.672
0.000 0.500 0.000

---

(3)
RbBa2I2 | Alexandria via LeMat-Bulk | GGA-PBEsol | optimized geometry; energy = -2.71 eV per atom; space group = I4/mmm, No. 139
1.0
5.970 0.000 0.000
0.000 5.970 0.000
-2.985 -2.985 7.984
Ba Rb I
2 1 2
direct
0.638 0.638 0.276
0.362 0.362 0.724
0.000 0.000 0.000
0.250 0.750 0.500
0.750 0.250 0.500

---

(4)
Ca3Ge4Ir4 | Alexandria via LeMat-Bulk | GGA-PBEsol | optimized geometry; formation energy = -674.1 meV per atom; space group = I-43m, No. 217
1.0
6.547 0.000 0.000
-2.182 6.172 0.000
-2.182 -3.086 5.345
Ir Ca Ge
4 3 4
direct
0.000 0.733 0.000
0.267 0.267 0.267
0.733 0.000 0.000
0.000 0.000 0.733
0.500 0.500 0.000
0.000 0.500 0.500
0.500 0.000 0.500
0.000 0.375 0.000
0.625 0.625 0.625
0.000 0.000 0.375
0.375 0.000 0.000